(1)
The following is a PBEsol calculation of a geometry-optimized TcTeP3 structure, from the Alexandria database.

Calculated values
Calculated density   4.5 g cm⁻³
Total DFT energy (no corrections)   -4.504 eV/atom

abc: 4.9167 4.9167 4.9167
angles: 90.00 90.00 90.00
Closest atoms and distances in Å follow each position.
Sites, in units of the cell vectors:
P: 0.0000 0.5000 0.0000  2 Te 2.46
P: 0.0000 0.0000 0.5000  2 Te 2.46
P: 0.5000 0.0000 0.0000  2 Te 2.46
Te: 0.0000 0.0000 0.0000  6 P 2.46
Tc: 0.5000 0.5000 0.5000  12 P 3.48

---

(2)
The following is a PBEsol calculation of a geometry-optimized Tc2TeP structure, from the Alexandria database.

Calculated values
Calculated density   9.9 g cm⁻³
Total DFT energy (no corrections)   -7.925 eV/atom
Excess energy over the best structure of this formula in the dataset   0.0000 eV/atom

abc: 4.3788 4.3788 4.3788
angles: 60.00 60.00 60.00
Closest atoms and distances in Å follow each position.
Sites, in units of the cell vectors:
P: 0.5000 0.5000 0.5000  8 Tc 2.68
Tc: 0.7500 0.7500 0.7500  4 P 2.68, 4 Te 2.68
Tc: 0.2500 0.2500 0.2500  4 Te 2.68, 4 P 2.68
Te: 0.0000 0.0000 0.0000  8 Tc 2.68

---

(3)
The following is a PBEsol calculation of a geometry-optimized Ti2TcP2 structure, from the Alexandria database.

Calculated values
Calculated density   6.3 g cm⁻³
Total DFT energy (no corrections)   -8.924 eV/atom
DFT formation energy   -1.03 eV per atom

abc: 3.4326 6.2509 6.2509
angles: 90.00 90.00 90.00
Closest atoms and distances in Å follow each position.
Sites, in units of the cell vectors:
P: 0.0000 0.3618 0.8618  2 Tc 2.42, 1 P 2.44, 6 Ti 2.46-2.55
P: 0.0000 0.1382 0.3618  2 Tc 2.42, 1 P 2.44, 6 Ti 2.46-2.55
P: 0.0000 0.8618 0.6382  2 Tc 2.42, 1 P 2.44, 6 Ti 2.46-2.55
P: 0.0000 0.6382 0.1382  2 Tc 2.42, 1 P 2.44, 6 Ti 2.46-2.55
Ti: 0.5000 0.6620 0.8380  6 P 2.46-2.55
Ti: 0.5000 0.3380 0.1620  6 P 2.46-2.55
Ti: 0.5000 0.1620 0.6620  6 P 2.46-2.55
Ti: 0.5000 0.8380 0.3380  6 P 2.46-2.55
Tc: 0.0000 0.0000 0.0000  4 P 2.42
Tc: 0.0000 0.5000 0.5000  4 P 2.42

---

(4)
The following is a PBEsol calculation of a geometry-optimized TiTc3P structure, from the Alexandria database.

Calculated values
Calculated density   7.8 g cm⁻³
Total DFT energy (no corrections)   -9.378 eV/atom
DFT formation energy   0.20 eV per atom

abc: 4.2949 4.2949 4.2949
angles: 90.00 90.00 90.00
Closest atoms and distances in Å follow each position.
Sites, in units of the cell vectors:
Tc: 0.5000 0.0000 0.0000  2 P 2.15
Tc: 0.0000 0.5000 0.0000  2 P 2.15
Tc: 0.0000 0.0000 0.5000  2 P 2.15
P: 0.0000 0.0000 0.0000  6 Tc 2.15
Ti: 0.5000 0.5000 0.5000  12 Tc 3.04

---

(5)
The following is a PBEsol calculation of a geometry-optimized Tl2TcP structure, from the Alexandria database.

Calculated values
Calculated density   11.4 g cm⁻³
Total DFT energy (no corrections)   -4.697 eV/atom
DFT formation energy   0.88 eV per atom

abc: 3.0518 3.0518 8.3921
angles: 90.00 90.00 90.00
Closest atoms and distances in Å follow each position.
Sites, in units of the cell vectors:
Tc: 0.5000 0.5000 0.5000  8 Tl 2.93, 4 Tc 3.05
Tl: 0.0000 0.0000 0.7362  4 Tc 2.93, 4 Tl 3.05, 4 P 3.09
Tl: 0.0000 0.0000 0.2638  4 Tc 2.93, 4 Tl 3.05, 4 P 3.09
P: 0.5000 0.5000 0.0000  4 P 3.05, 8 Tl 3.09

---

(6)
The following is a PBEsol calculation of a geometry-optimized TlTcP3 structure, from the Alexandria database.

Calculated values
Calculated density   6.6 g cm⁻³
Total DFT energy (no corrections)   -5.852 eV/atom
DFT formation energy   0.40 eV per atom

abc: 4.6364 4.6364 4.6364
angles: 90.00 90.00 90.00
Closest atoms and distances in Å follow each position.
Sites, in units of the cell vectors:
P: 0.0000 0.0000 0.5000  2 Tc 2.32
P: 0.5000 0.0000 0.0000  2 Tc 2.32
P: 0.0000 0.5000 0.0000  2 Tc 2.32
Tl: 0.5000 0.5000 0.5000  12 P 3.28
Tc: 0.0000 0.0000 0.0000  6 P 2.32

---

(7)
The following is a PBEsol calculation of a geometry-optimized TcPW3 structure, from the Alexandria database.

Calculated values
Calculated density   11.3 g cm⁻³
Total DFT energy (no corrections)   -9.454 eV/atom
DFT formation energy   2.24 eV per atom

abc: 4.6414 4.6414 4.6414
angles: 90.00 90.00 90.00
Closest atoms and distances in Å follow each position.
Sites, in units of the cell vectors:
W: 0.5000 0.0000 0.0000  2 Tc 2.32
W: 0.0000 0.0000 0.5000  2 Tc 2.32
W: 0.0000 0.5000 0.0000  2 Tc 2.32
P: 0.5000 0.5000 0.5000  12 W 3.28
Tc: 0.0000 0.0000 0.0000  6 W 2.32

---

(8)
The following is a PBEsol calculation of a geometry-optimized Y2TcP structure, from the Alexandria database.

Calculated values
Calculated density   6.0 g cm⁻³
Total DFT energy (no corrections)   -8.006 eV/atom
DFT formation energy   -0.33 eV per atom

abc: 3.6194 3.6194 7.8246
angles: 76.63 76.63 60.00
Closest atoms and distances in Å follow each position.
Sites, in units of the cell vectors:
Y: 0.2443 0.2443 0.2672  3 P 2.73, 3 Tc 2.90
Y: 0.7557 0.7557 0.7328  3 P 2.73, 3 Tc 2.90
Tc: 0.0000 0.0000 0.0000  6 Y 2.90
P: 0.5000 0.5000 0.5000  6 Y 2.73

---

(9)
The following is a PBEsol calculation of a geometry-optimized YTcP2 structure, from the Alexandria database.

Calculated values
Calculated density   6.7 g cm⁻³
Total DFT energy (no corrections)   -8.079 eV/atom
DFT formation energy   -0.66 eV per atom

abc: 3.0222 3.0222 6.7202
angles: 90.00 90.00 90.00
Closest atoms and distances in Å follow each position.
Sites, in units of the cell vectors:
Tc: 0.5000 0.5000 0.5000  8 P 2.55
P: 0.0000 0.0000 0.7067  4 Tc 2.55, 1 P 2.78
P: 0.0000 0.0000 0.2933  4 Tc 2.55, 1 P 2.78
Y: 0.5000 0.5000 0.0000  8 P 2.91, 4 Y 3.02

---

(10)
The following is a PBEsol calculation of a geometry-optimized Y2TcP structure, from the Alexandria database.

Calculated values
Calculated density   6.6 g cm⁻³
Total DFT energy (no corrections)   -8.196 eV/atom
DFT formation energy   -0.52 eV per atom

abc: 3.5439 3.5439 6.1700
angles: 90.00 90.00 90.00
Closest atoms and distances in Å follow each position.
Sites, in units of the cell vectors:
Y: 0.0000 0.0000 0.2436  4 P 2.92, 4 Tc 2.96, 2 Y 3.01-3.16
Y: 0.0000 0.0000 0.7564  4 P 2.92, 4 Tc 2.96, 2 Y 3.01-3.16
Tc: 0.5000 0.5000 0.5000  8 Y 2.96, 2 P 3.08
P: 0.5000 0.5000 0.0000  8 Y 2.92, 2 Tc 3.08

---

(11)
The following is a PBEsol calculation of a geometry-optimized Y2TcP structure, from the Alexandria database.

Calculated values
Calculated density   5.9 g cm⁻³
Total DFT energy (no corrections)   -7.817 eV/atom
DFT formation energy   -0.14 eV per atom

abc: 3.6367 4.2330 5.6519
angles: 90.00 90.00 90.00
Closest atoms and distances in Å follow each position.
Sites, in units of the cell vectors:
Y: 0.5000 0.5000 0.6650  2 Tc 2.78-2.88, 4 P 2.82
Y: 0.0000 0.0000 0.0884  2 P 2.81-2.84, 4 Tc 2.82
Tc: 0.5000 0.5000 0.1562  6 Y 2.78-2.88
P: 0.0000 0.0000 0.5904  6 Y 2.81-2.84

---

(12)
The following is a PBEsol calculation of a geometry-optimized Zn2TcP structure, from the Alexandria database.

Calculated values
Calculated density   7.6 g cm⁻³
Total DFT energy (no corrections)   -4.750 eV/atom
DFT formation energy   0.31 eV per atom

abc: 2.6192 2.6192 8.2929
angles: 90.00 90.00 90.00
Closest atoms and distances in Å follow each position.
Sites, in units of the cell vectors:
Tc: 0.5000 0.5000 0.5000  4 Tc 2.62, 8 Zn 2.72
Zn: 0.0000 0.0000 0.2602  4 Zn 2.62, 4 Tc 2.72, 4 P 2.84
Zn: 0.0000 0.0000 0.7398  4 Zn 2.62, 4 Tc 2.72, 4 P 2.84
P: 0.5000 0.5000 0.0000  4 P 2.62, 8 Zn 2.84

---

(13)
The following is a PBEsol calculation of a geometry-optimized Zn2TcP structure, from the Alexandria database.

Calculated values
Calculated density   8.1 g cm⁻³
Total DFT energy (no corrections)   -4.989 eV/atom
DFT formation energy   0.07 eV per atom

abc: 3.7374 3.7374 4.6239
angles: 113.84 113.84 90.00
Closest atoms and distances in Å follow each position.
Sites, in units of the cell vectors:
Tc: 0.2500 0.7500 0.5000  8 Zn 2.64-2.66, 4 P 2.66
P: 0.5000 0.5000 0.0000  8 Zn 2.64-2.66, 4 Tc 2.66
Zn: 0.0000 0.0000 0.0000  4 P 2.64, 4 Tc 2.66, 4 Zn 2.66
Zn: 0.7500 0.2500 0.5000  4 Tc 2.64, 4 Zn 2.66, 4 P 2.66

---

(14)
The following is a PBEsol calculation of a geometry-optimized ZnTcP structure, from the Alexandria database.

Calculated values
Calculated density   7.1 g cm⁻³
Total DFT energy (no corrections)   -5.375 eV/atom
Excess energy over the best structure of this formula in the dataset   1.1932 eV/atom
DFT formation energy   0.84 eV per atom

abc: 4.0075 4.0075 4.0075
angles: 60.00 60.00 60.00
Closest atoms and distances in Å follow each position.
Sites, in units of the cell vectors:
P: 0.0000 0.0000 0.0000  4 Zn 2.45
Tc: 0.5000 0.5000 0.5000  4 Zn 2.45
Zn: 0.2500 0.2500 0.2500  4 Tc 2.45, 4 P 2.45